[1]
This record from the Alexandria database describes a geometry-optimized Li6In2Ge structure. The functional is PBE.

Properties
Space-group type: No. 191
Energy in eV/cell: -24.1
DOS(E_F) in states/eV/f.u.: 3.5
Size of the total moment in μB per atom: 0.000

abc: 7.930 7.930 2.902
angles: 90.00 90.00 120.00
Positions (direct):
Li  0.000  0.322  0.000
Li  0.000  0.678  0.000
Li  0.322  0.000  0.000
Li  0.322  0.322  0.000
Li  0.678  0.000  0.000
Li  0.678  0.678  0.000
In  0.333  0.667  0.500
In  0.667  0.333  0.500
Ge  0.000  0.000  0.500

***

[2]
This record from the Alexandria database describes a geometry-optimized LiInGe structure. The functional is PBE.

Properties
Space-group type: No. 8
Energy in eV/cell: -38.2
DOS(E_F) in states/eV/f.u.: 0.2
Size of the total moment in μB per atom: 0.000

abc: 8.814 7.773 4.562
angles: 90.00 119.24 90.00
Positions (direct):
Li  0.000  0.000  0.000
Li  0.047  0.500  0.272
Li  0.500  0.500  0.000
Li  0.547  0.000  0.272
In  0.225  0.188  0.733
In  0.225  0.812  0.733
In  0.725  0.312  0.733
In  0.725  0.688  0.733
Ge  0.363  0.330  0.365
Ge  0.363  0.670  0.365
Ge  0.863  0.170  0.365
Ge  0.863  0.830  0.365

***

[3]
This record from the Alexandria database describes a geometry-optimized LiInGe structure. The functional is PBE.

Properties
Space-group type: No. 47
Energy in eV/cell: -18.9
DOS(E_F) in states/eV/f.u.: 1.0
Size of the total moment in μB per atom: 0.000

abc: 3.010 4.350 9.494
angles: 90.00 90.00 90.00
Positions (direct):
Li  0.000  0.000  0.000
Li  0.000  0.500  0.500
In  0.500  0.000  0.328
In  0.500  0.000  0.672
Ge  0.500  0.500  0.139
Ge  0.500  0.500  0.861

***

[4]
This record from the Alexandria database describes a geometry-optimized LiInGe2 structure. The functional is PBE.

Properties
Space-group type: No. 123
Energy in eV/cell: -14.1
DOS(E_F) in states/eV/f.u.: 1.0
Size of the total moment in μB per atom: 0.000

abc: 4.312 4.312 4.222
angles: 90.00 90.00 90.00
Positions (direct):
Li  0.000  0.000  0.000
In  0.500  0.500  0.000
Ge  0.000  0.500  0.500
Ge  0.500  0.000  0.500